# PBE HfReTeI2, optimized geometry
data_HfReTeI2
_chemical_formula_sum 'Hf1 Re1 Te1 I2'
_space_group_name_H-M_alt 'P 4/m m m'
_space_group_IT_number 123
_space_group_name_Hall '-P 4 2'
_cell_length_a 5.703
_cell_length_b 5.703
_cell_length_c 5.564
_cell_angle_alpha 90.00
_cell_angle_beta 90.00
_cell_angle_gamma 90.00
loop_
_atom_site_label
_atom_site_type_symbol
_atom_site_fract_x
_atom_site_fract_y
_atom_site_fract_z
_atom_site_occupancy
Hf1 Hf 0.000 0.000 0.000 1
Re1 Re 0.500 0.500 0.500 1
Te1 Te 0.000 0.000 0.500 1
I1 I 0.000 0.500 0.000 1
# Energy = -23.654 eV for the cell shown
# Raw formation energy = 4.99 eV per formula unit

---

# PBE HfRhI2, optimized geometry
data_HfRhI2
_chemical_formula_sum 'Hf4 Rh4 I8'
_space_group_name_H-M_alt 'I -4 2 d'
_space_group_IT_number 122
_space_group_name_Hall 'I -4 2bw'
_cell_length_a 6.463
_cell_length_b 6.463
_cell_length_c 11.437
_cell_angle_alpha 90.00
_cell_angle_beta 90.00
_cell_angle_gamma 90.00
loop_
_atom_site_label
_atom_site_type_symbol
_atom_site_fract_x
_atom_site_fract_y
_atom_site_fract_z
_atom_site_occupancy
Hf1 Hf 0.000 0.000 0.000 1
Rh1 Rh 0.000 0.000 0.500 1
I1 I 0.227 0.250 0.625 1
# Energy = -74.822 eV for the cell shown
# Raw formation energy = 1.70 eV per formula unit

---

| no. | theoretical density (g/cm3) | D(E_F) (states/eV/f.u.) |
| --- | --- | --- |
| 1 | 6.8 | 3.02 |
| 2 | 7.4 | 3.15 |